(1)
NiMo3 at its PBEsol-relaxed geometry, computed with SCAN.

The structure in POSCAR format:
```
NiMo3
1.0
2.642 -0.004 0.000
-0.690 2.551 0.000
0.000 0.000 8.365
Ni Mo
1 3
direct
0.500 0.500 0.500
0.000 0.000 0.267
0.000 0.000 0.733
0.500 0.500 0.000
```

Computed properties:
Magnetization: 0.0 Bohr magnetons per cell
E: -120.6 eV per cell

***

(2)
YCdRu at its PBEsol-relaxed geometry, computed with SCAN.

The structure in POSCAR format:
```
YCdRu
1.0
4.565 0.000 0.000
2.283 3.954 0.000
2.283 1.318 3.728
Cd Ru Y
1 1 1
direct
0.500 0.500 0.500
0.250 0.250 0.250
0.000 0.000 0.000
```

Computed properties:
Magnetization: 0.0 Bohr magnetons per cell
E: -92.9 eV per cell

***

(3)
SbSe2Cl at its PBEsol-relaxed geometry, computed with SCAN.

The structure in POSCAR format:
```
SbSe2Cl
1.0
3.532 0.000 0.000
0.000 4.895 -0.067
-1.766 -1.051 5.796
Sb Se Cl
1 2 1
direct
0.000 0.500 0.000
0.307 0.380 0.615
0.693 0.620 0.385
0.500 0.000 0.000
```

Computed properties:
Energy above the most stable polymorph in this dataset: 21.7 kJ/mol of atoms
Magnetization: 0.0 Bohr magnetons per cell
ΔE_f (raw): 0.008 eV per atom

***

Number 1: calculated volume 56 Å³/cell. Number 2: calculated volume 67 Å³/cell. Number 3: calculated volume 100 Å³/cell.